1.
DFT (PBE) results for crystalline CaLa2Mo at its relaxed geometry.

Unit cell a=3.6290 b=3.6290 c=10.0151 alpha=90.00 beta=90.00 gamma=102.15
Closest atoms and distances in Å follow each position.
Positions (direct):
Ca (0.0000, 0.0000, 0.0000)  4 Ca 3.63, 4 La 3.94
La (0.5000, 0.5000, 0.3204)  2 Mo 2.90
La (0.5000, 0.5000, 0.6796)  2 Mo 2.90
Mo (0.0000, 0.0000, 0.5000)  4 La 2.90

**ΔE_f**: 293 meV per atom
**M_tot**: 0.00 μB per formula unit
**ΔE to the lowest computed polymorph**: 0.0027 eV/atom
**SG**: Cmmm (65)


2.
DFT (PBE) results for crystalline CaLaMo2 at its relaxed geometry.

Unit cell a=3.1314 b=5.0612 c=6.5219 alpha=90.00 beta=101.22 gamma=90.00
Closest atoms and distances in Å follow each position.
Positions (direct):
Ca (0.0000, 0.0000, 0.0000)  2 Ca 3.13, 2 La 3.26
La (0.0000, 0.0000, 0.5000)  4 Mo 2.98, 2 La 3.13, 2 Ca 3.26
Mo (0.4309, 0.5000, 0.6725)  1 Mo 2.37
Mo (0.5691, 0.5000, 0.3275)  1 Mo 2.37

**ΔE_f**: 764 meV per atom
**M_tot**: 0.00 μB per formula unit
**ΔE to the lowest computed polymorph**: 0.4508 eV/atom
**SG**: P2/m (10)


Which formula does entry 2 have? CaLaMo2